Nd2SmYTm: optimized geometry, PBE-GGA.

Summary:
DFT formation energy, meV/atom: 385.7

a b c (Å): 8.4272 11.6537 7.2824
angles (deg): 90.00 90.00 90.00
Last column: nearest neighbours and their distance in Å.
Space group Cmcm (No. 63)
One atom of each set of equivalent atoms:
1 Nd 0.1949 0.0000 0.0000  2 Tm 3.16, 1 Nd 3.28, 2 Sm 3.53
2 Sm 0.0000 0.2177 0.2500  1 Tm 3.07
3 Y 0.0000 0.2413 0.7500  1 Tm 3.23
4 Tm 0.0000 0.4814 0.2500  1 Sm 3.07, 4 Nd 3.16, 1 Y 3.23

RbCrCuBr6: optimized geometry, PBE-GGA.

Summary:
ΔE_f (raw), eV per atom: -0.80

a b c (Å): 6.6078 6.6088 7.7030
angles (deg): 92.14 92.16 115.16
Last column: nearest neighbours and their distance in Å.
Space group P1 (No. 1)
One atom of each set of equivalent atoms:
1 Rb 0.0000 0.0000 0.0000  6 Br 3.48-3.51
2 Cr 0.3511 0.6493 0.5001  6 Br 2.47-2.56
3 Cu 0.6899 0.3117 0.4997  4 Br 2.47-2.48
4 Br 0.0382 0.3549 0.6621  1 Cu 2.48, 1 Cr 2.56
5 Br 0.0525 0.6293 0.2879  1 Cr 2.47
6 Br 0.3710 0.9473 0.7125  1 Cr 2.47
7 Br 0.4122 0.3633 0.3040  1 Cu 2.47, 1 Cr 2.55
8 Br 0.6374 0.5881 0.6959  1 Cu 2.47, 1 Cr 2.55
9 Br 0.6452 0.9625 0.3379  1 Cu 2.48, 1 Cr 2.56

MoRuPt2: optimized geometry, PBE-GGA.

Summary:
DFT formation energy, meV/atom: 12.3
ΔE to the lowest computed polymorph, meV per atom: 204

a b c (Å): 3.3275 3.3275 5.5931
angles (deg): 90.00 90.00 90.00
Last column: nearest neighbours and their distance in Å.
Space group P4mm (No. 99)
One atom of each set of equivalent atoms:
1 Mo 0.0000 0.0000 0.0000  4 Ru 2.68, 6 Pt 2.70-2.89
2 Ru 0.5000 0.5000 0.7720  4 Mo 2.68, 6 Pt 2.74-2.85
3 Pt 0.0000 0.0000 0.5173  2 Mo 2.70-2.89, 4 Ru 2.75, 4 Pt 2.75
4 Pt 0.5000 0.5000 0.2618  2 Ru 2.74-2.85, 4 Pt 2.75, 4 Mo 2.77

Number 1: E_tot -0.171 Ha/atom. Number 2: E_tot -0.130 Ha/atom. Number 3: E_tot -0.295 Ha/atom.